1.
Below is an optimized crystal structure of KPRh, with properties calculated at the PBE level.

Calculated volume (Å³/atom): 23.9
E_form (eV per atom): -0.402
Density of states at the Fermi level (states/eV/f.u.): 2.7
Magnetic moment (μB per atom): 0.0000

Geometry as CIF:
```
data_KPRh
_space_group_name_H-M_alt 'P 1'
_space_group_IT_number 1
_cell_length_a 3.9229
_cell_length_b 3.9229
_cell_length_c 5.3850
_cell_angle_alpha 90.00
_cell_angle_beta 90.00
_cell_angle_gamma 120.00
loop_
_space_group_symop_operation_xyz
'x,y,z'
loop_
_atom_site_label
_atom_site_fract_x
_atom_site_fract_y
_atom_site_fract_z
_atom_site_occupancy
P1 0.6667 0.3333 0.5005 1
Rh1 0.3333 0.6667 0.4996 1
K1 0.0000 0.0000 0.9998 1
```

=====

2.
Below is an optimized crystal structure of K6P2Rh, with properties calculated at the PBE level.

Calculated volume (Å³/atom): 37.4
E_form (eV per atom): 0.279
Density of states at the Fermi level (states/eV/f.u.): 15.3
Magnetic moment (μB per atom): 0.3354

Geometry as CIF:
```
data_K6P2Rh
_space_group_name_H-M_alt 'P 1'
_space_group_IT_number 1
_cell_length_a 8.8296
_cell_length_b 8.8296
_cell_length_c 4.9864
_cell_angle_alpha 90.00
_cell_angle_beta 90.00
_cell_angle_gamma 120.00
loop_
_space_group_symop_operation_xyz
'x,y,z'
loop_
_atom_site_label
_atom_site_fract_x
_atom_site_fract_y
_atom_site_fract_z
_atom_site_occupancy
K1 0.8063 0.6126 0.2576 1
K2 0.1937 0.3874 0.7424 1
K3 0.6126 0.8063 0.7424 1
K4 0.1937 0.8063 0.7424 1
K5 0.8063 0.1937 0.2576 1
K6 0.3874 0.1937 0.2576 1
P1 0.3333 0.6667 0.2450 1
P2 0.6667 0.3333 0.7550 1
Rh1 0.0000 0.0000 0.0000 1
```

=====

3.
Below is an optimized crystal structure of KP2Rh, with properties calculated at the PBE level.

Calculated volume (Å³/atom): 18.8
E_form (eV per atom): 0.029
Density of states at the Fermi level (states/eV/f.u.): 0.9
Offset from the most stable computed form (eV/atom): 0.4477
Magnetic moment (μB per atom): 0.0000

Geometry as CIF:
```
data_KP2Rh
_space_group_name_H-M_alt 'P 1'
_space_group_IT_number 1
_cell_length_a 3.1910
_cell_length_b 3.1910
_cell_length_c 7.3976
_cell_angle_alpha 90.00
_cell_angle_beta 90.00
_cell_angle_gamma 90.00
loop_
_space_group_symop_operation_xyz
'x,y,z'
loop_
_atom_site_label
_atom_site_fract_x
_atom_site_fract_y
_atom_site_fract_z
_atom_site_occupancy
K1 0.5000 0.5000 0.7645 1
Rh1 0.0000 0.0000 0.3958 1
P1 0.5000 0.5000 0.2621 1
P2 0.0000 0.0000 0.0776 1
```